Material: V4Fe2Ni
Method: DFT, PBE
State: optimized geometry

Properties
E_form (eV/atom): 0.83

```
7
Lattice="4.236 0.000 0.000 0.000 4.236 0.000 2.118 2.118 5.759" Properties=species:S:1:pos:R:3 pbc="T T T"
Fe 2.118 2.118 1.325
V 2.118 0.000 0.000
Ni 0.000 0.000 0.000
V 4.236 4.236 2.350
Fe 4.236 4.236 4.433
V 0.000 2.118 0.000
V 2.118 2.118 3.408
```